DFT (PBE) results for YMgW2 after structural relaxation.

The total energy comes out at -7.9275 eV/atom.

The space group is P4mm (No. 99) and the conventional cell measures 2.8098, 2.8098 and 9.8887 Å, with angles of 90.00, 90.00 and 90.00 degrees. Symmetry generates all atoms from Y at (0.0000, 0.0000, 0.0000), Mg at (0.5000, 0.5000, 0.2940), W at (0.0000, 0.0000, 0.5211) and W at (0.5000, 0.5000, 0.7510).

DFT (PBE) results for YMgW2 after structural relaxation.

The total energy comes out at -8.0116 eV/atom.

The space group is Imm2 (No. 44) and the conventional cell measures 3.5218, 5.0429 and 9.3489 Å, with angles of 90.00, 90.00 and 90.00 degrees. Symmetry generates all atoms from Y at (0.0000, 0.0000, 0.0000), Mg at (0.0000, 0.5000, 0.2194), W at (0.0000, 0.0000, 0.4498) and W at (0.0000, 0.5000, 0.7619).

DFT (PBE) results for YMgW2 after structural relaxation.

The total energy comes out at -7.7392 eV/atom.

The space group is R-3m (No. 166, hexagonal axes) and the conventional cell measures 2.9362, 2.9362 and 30.8764 Å, with angles of 90.00, 90.00 and 120.00 degrees. Symmetry generates all atoms from Y at (0.0000, 0.0000, 0.0000), Mg at (0.0000, 0.0000, 0.5000) and W at (0.0000, 0.0000, 0.2456).

DFT (PBE) results for YMgW2 after structural relaxation.

The total energy comes out at -7.9293 eV/atom.

The space group is Pmmm (No. 47) and the conventional cell measures 3.5131, 4.4702 and 4.8823 Å, with angles of 90.00, 90.00 and 90.00 degrees. Symmetry generates all atoms from Y at (0.0000, 0.0000, 0.0000), Mg at (0.5000, 0.5000, 0.0000), W at (0.0000, 0.5000, 0.5000) and W at (0.5000, 0.0000, 0.5000).

DFT (PBE) results for Y2Mg4W after structural relaxation.

The total energy comes out at -3.8832 eV/atom.

The space group is I4/mmm (No. 139) and the conventional cell measures 5.0597, 5.0597 and 15.8556 Å, with angles of 90.00, 90.00 and 90.00 degrees. Symmetry generates all atoms from Y at (0.0000, 0.0000, 0.1181), Mg at (0.0000, 0.0000, 0.3299), Mg at (0.0000, 0.5000, 0.0000) and W at (0.0000, 0.0000, 0.5000).

DFT (PBE) results for YMgW after structural relaxation.

The calculation puts the energy relative to the lowest polymorph listed for this composition at 2.128 eV/f.u.

The space group is F-43m (No. 216) and the conventional cell measures 6.8596, 6.8596 and 6.8596 Å, with angles of 90.00, 90.00 and 90.00 degrees. Symmetry generates all atoms from Y at (0.0000, 0.0000, 0.0000), Mg at (0.0000, 0.0000, 0.5000) and W at (0.2500, 0.2500, 0.2500).

DFT (PBE) results for YMgW3 after structural relaxation.

The calculation puts the energy relative to the lowest polymorph listed for this composition at 0.000 eV/f.u.

The space group is Pm-3m (No. 221) and the conventional cell measures 4.7155, 4.7155 and 4.7155 Å, with angles of 90.00, 90.00 and 90.00 degrees. Symmetry generates all atoms from Y at (0.0000, 0.0000, 0.0000), Mg at (0.5000, 0.5000, 0.5000) and W at (0.0000, 0.5000, 0.5000).

DFT (PBE) results for YMgW2 after structural relaxation.

The total energy comes out at -8.0200 eV/atom.

The space group is F-43m (No. 216) and the conventional cell measures 6.7293, 6.7293 and 6.7293 Å, with angles of 90.00, 90.00 and 90.00 degrees. Symmetry generates all atoms from Y at (0.0000, 0.0000, 0.0000), Mg at (0.2500, 0.2500, 0.2500), W at (0.0000, 0.0000, 0.5000) and W at (0.2500, 0.2500, 0.7500).

DFT (PBE) results for YMgW2 after structural relaxation.

The total energy comes out at -7.8371 eV/atom.

The space group is Pmmm (No. 47) and the conventional cell measures 2.7787, 4.7295 and 5.9532 Å, with angles of 90.00, 90.00 and 90.00 degrees. Symmetry generates all atoms from Y at (0.0000, 0.0000, 0.0000), Mg at (0.0000, 0.0000, 0.5000) and W at (0.5000, 0.5000, 0.2818).

DFT (PBE) results for YMg14W after structural relaxation.

The calculation puts the energy relative to the lowest polymorph listed for this composition at 0.000 eV/f.u.

The space group is Amm2 (No. 38) and the conventional cell measures 10.2781, 6.1896 and 11.3166 Å, with angles of 90.00, 90.00 and 90.00 degrees. Symmetry generates all atoms from Y at (0.0000, 0.0000, 0.0000), Mg at (0.0000, 0.2443, 0.2497), Mg at (0.2293, 0.0000, 0.6431), Mg at (0.2450, 0.2415, 0.4037), Mg at (0.2610, 0.0000, 0.1540), Mg at (0.5000, 0.0000, 0.4931), Mg at (0.5000, 0.0000, 0.9879), Mg at (0.5000, 0.2464, 0.7423) and W at (0.0000, 0.0000, 0.4866).

DFT (PBE) results for YMgW2 after structural relaxation.

The total energy comes out at -7.7849 eV/atom.

The space group is P4/mmm (No. 123) and the conventional cell measures 3.5599, 3.5599 and 6.4373 Å, with angles of 90.00, 90.00 and 90.00 degrees. Symmetry generates all atoms from Y at (0.0000, 0.0000, 0.0000), Mg at (0.0000, 0.0000, 0.5000) and W at (0.5000, 0.5000, 0.3137).

DFT (PBE) results for YMgW2 after structural relaxation.

The total energy comes out at -7.2541 eV/atom.

The space group is I-42d (No. 122) and the conventional cell measures 7.8674, 7.8674 and 5.3678 Å, with angles of 90.00, 90.00 and 90.00 degrees. Symmetry generates all atoms from Y at (0.0000, 0.0000, 0.0000), Mg at (0.0000, 0.0000, 0.5000) and W at (0.2198, 0.7500, 0.6250).

One value per record, in order, for Fermi-level density of states: 0.566, 0.751, 1.316, 0.824, 1.199, 0.783, 1.734, 1.158, 0.824, 0.723, 1.102, 0.921 states/eV/atom.
One value per record, in order, for spin magnetization: 0.00, 0.00, 0.00, 0.00, 1.60, 2.93, 0.00, 0.00, 0.00, 0.23, 0.00, 0.00 μB per formula unit.